Model a:
Entry from Alexandria via LeMat-Bulk: a relaxed structure of La2Y2Te (GGA-PBE).

Calculated values
DOS at the Fermi energy: 15.6 states/eV/cell

a b c (Å): 4.148 4.148 19.623
angles (deg): 90.00 90.00 90.00
Space group I4/mmm (No. 139)
Asymmetric unit:
La (0.000, 0.500, 0.250) (multiplicity 4)
Y (0.000, 0.000, 0.088) (multiplicity 4)
Te (0.000, 0.000, 0.500) (multiplicity 2)

---

Model b:
Entry from Alexandria via LeMat-Bulk: a relaxed structure of La2Y2Te (GGA-PBE).

Calculated values
DOS at the Fermi energy: 12.3 states/eV/cell

a b c (Å): 7.983 7.983 5.477
angles (deg): 90.00 90.00 90.00
Space group P4/mbm (No. 127)
Asymmetric unit:
La (0.143, 0.357, 0.000) (multiplicity 4)
Y (0.150, 0.650, 0.500) (multiplicity 4)
Te (0.000, 0.000, 0.500) (multiplicity 2)

---

Stability, highest: model b

---

Model a:
Entry from Alexandria via LeMat-Bulk: a relaxed structure of LaY6Te8 (GGA-PBE).

Calculated values
DOS at the Fermi energy: 30.3 states/eV/cell

a b c (Å): 12.337 12.337 12.337
angles (deg): 90.00 90.00 90.00
Space group Fm-3m (No. 225)
Asymmetric unit:
La (0.000, 0.000, 0.000) (multiplicity 4)
Y (0.000, 0.250, 0.250) (multiplicity 24)
Te (0.000, 0.000, 0.263) (multiplicity 24)
Te (0.250, 0.250, 0.250) (multiplicity 8)

---

Model b:
Entry from Alexandria via LeMat-Bulk: a relaxed structure of LaY6Te8 (GGA-PBE).

Calculated values
DOS at the Fermi energy: 28.6 states/eV/cell

a b c (Å): 9.3863 9.3863 18.5060
angles (deg): 90.00 90.00 120.00
Space group R-3 (No. 148, hexagonal axes)
Asymmetric unit:
La (0.0000, 0.0000, 0.0000) (multiplicity 3)
Y (0.0061, 0.6227, 0.0744) (multiplicity 18)
Te (0.0000, 0.0000, 0.3235) (multiplicity 6)
Te (0.0072, 0.2882, 0.0935) (multiplicity 18)

---

Stability, highest: model a

---

Model a:
Entry from Alexandria via LeMat-Bulk: a relaxed structure of La3YTe (GGA-PBE).

Calculated values
DOS at the Fermi energy: 10.5 states/eV/cell

a b c (Å): 6.003 6.003 6.003
angles (deg): 90.00 90.00 90.00
Space group Pm-3m (No. 221)
Asymmetric unit:
La (0.000, 0.000, 0.500) (multiplicity 3)
Y (0.500, 0.500, 0.500) (multiplicity 1)
Te (0.000, 0.000, 0.000) (multiplicity 1)

---

Model b:
Entry from Alexandria via LeMat-Bulk: a relaxed structure of La3YTe (GGA-PBE).

Calculated values
DOS at the Fermi energy: 8.9 states/eV/cell

a b c (Å): 5.764 5.764 5.764
angles (deg): 90.00 90.00 90.00
Space group Pm-3m (No. 221)
Asymmetric unit:
La (0.000, 0.000, 0.500) (multiplicity 3)
Y (0.000, 0.000, 0.000) (multiplicity 1)
Te (0.500, 0.500, 0.500) (multiplicity 1)

---

Stability, highest: model a

---

Model a:
Entry from Alexandria via LeMat-Bulk: a relaxed structure of LaYTe3 (GGA-PBE).

Calculated values
DOS at the Fermi energy: 0.0 states/eV/cell

a b c (Å): 5.759 5.759 5.759
angles (deg): 90.00 90.00 90.00
Space group Pm-3m (No. 221)
Asymmetric unit:
La (0.000, 0.000, 0.000) (multiplicity 1)
Y (0.500, 0.500, 0.500) (multiplicity 1)
Te (0.000, 0.500, 0.500) (multiplicity 3)

---

Model b:
Entry from Alexandria via LeMat-Bulk: a relaxed structure of LaYTe3 (GGA-PBE).

Calculated values
DOS at the Fermi energy: 0.7 states/eV/cell

a b c (Å): 8.351 4.489 17.431
angles (deg): 90.00 90.00 90.00
Space group Pnma (No. 62)
Asymmetric unit:
La (0.136, 0.250, 0.200) (multiplicity 4)
Y (0.228, 0.750, 0.458) (multiplicity 4)
Te (0.006, 0.250, 0.394) (multiplicity 4)
Te (0.121, 0.750, 0.062) (multiplicity 4)
Te (0.155, 0.250, 0.785) (multiplicity 4)

---

Stability, highest: model b